This record from Alexandria via LeMat-Bulk describes a relaxed BaSrMoN2 crystal. The functional is PBE.

Calculated values
The theoretical density comes out at 3411 kg/m3. Its space-group type is No. 123. The value obtained for the total magnetization is 0.43 μB/atom. The value obtained for the energy relative to the elements, uncorrected is 2.241 eV/atom. As for the density of states at the Fermi level: 4.7 states/eV per cell.

The structure in POSCAR format:
```
BaSrMoN2
1.0
-1.130 1.430 4.577
-4.625 -1.566 -0.653
1.798 -6.317 2.417
N Mo Sr Ba
2 1 1 1
Cartesian
-0.565 0.715 2.288
-2.312 -0.783 -0.326
-1.978 -3.227 3.171
0.899 -3.159 1.209
0.000 0.000 0.000
```


This record from Alexandria via LeMat-Bulk describes a relaxed Ba2SrMoN4 crystal. The functional is PBE.

Calculated values
The theoretical density comes out at 4865 kg/m3. Its space-group type is No. 31. The value obtained for the total magnetization is 0.00 μB/atom. The value obtained for the energy relative to the elements, uncorrected is -0.787 eV/atom. As for the density of states at the Fermi level: 0.0 states/eV per cell.

The structure in POSCAR format:
```
Ba2SrMoN4
1.0
6.067 0.000 0.000
0.000 7.215 0.000
0.000 0.000 8.019
Sr N Ba Mo
2 8 4 2
Cartesian
5.962 1.015 4.009
2.928 6.200 0.000
4.920 6.053 4.009
1.886 1.162 0.000
2.386 0.529 4.009
5.632 2.176 6.411
5.632 2.176 1.608
5.420 6.686 0.000
2.598 5.040 2.402
2.598 5.040 5.617
2.895 2.304 2.049
5.929 4.911 1.960
5.929 4.911 6.059
2.895 2.304 5.969
0.015 1.251 0.000
3.048 5.964 4.009
```


This record from Alexandria via LeMat-Bulk describes a relaxed BaSrMo2N crystal. The functional is PBE.

Calculated values
The theoretical density comes out at 7018 kg/m3. Its space-group type is No. 123. The value obtained for the total magnetization is 0.00 μB/atom. The value obtained for the energy relative to the elements, uncorrected is 0.462 eV/atom. As for the density of states at the Fermi level: 3.6 states/eV per cell.

The structure in POSCAR format:
```
BaSrMo2N
1.0
4.251 0.000 0.000
0.000 5.640 0.000
0.000 0.000 4.251
N Mo Ba Sr
1 2 1 1
Cartesian
0.000 0.000 0.000
0.000 0.000 2.126
2.126 0.000 0.000
0.000 2.820 0.000
2.126 2.820 2.126
```


This record from Alexandria via LeMat-Bulk describes a relaxed Ba2TbMo2N6 crystal. The functional is PBE.

Calculated values
The theoretical density comes out at 5677 kg/m3. Its space-group type is No. 12. The value obtained for the total magnetization is 0.10 μB/atom. The value obtained for the energy relative to the elements, uncorrected is -0.686 eV/atom. As for the density of states at the Fermi level: 5.2 states/eV per cell.

The structure in POSCAR format:
```
Ba2TbMo2N6
1.0
-4.002 -3.392 3.343
1.965 -2.105 -5.571
4.716 -0.133 5.511
N Ba Tb Mo
6 2 1 2
Cartesian
0.011 -4.338 -1.427
2.058 -2.603 -3.137
2.667 -1.292 4.711
0.934 -3.734 3.118
1.744 -1.896 0.165
0.620 -3.026 6.420
-1.152 -3.324 1.036
3.831 -2.305 2.247
0.357 -1.762 4.427
1.018 -0.355 0.858
1.661 -5.274 2.426
```


This record from Alexandria via LeMat-Bulk describes a relaxed BaTbMoN3 crystal. The functional is PBE.

Calculated values
The theoretical density comes out at 7246 kg/m3. Its space-group type is No. 12. The value obtained for the total magnetization is 0.00 μB/atom. The value obtained for the energy relative to the elements, uncorrected is -0.863 eV/atom. As for the density of states at the Fermi level: 3.5 states/eV per cell.

The structure in POSCAR format:
```
BaTbMoN3
1.0
3.966 0.000 0.000
-1.983 6.824 0.032
0.000 -1.997 7.345
N Mo Ba Tb
6 2 2 2
Cartesian
1.983 -0.515 2.229
1.983 4.421 1.555
0.000 0.406 5.822
0.000 5.342 5.148
0.000 1.490 2.699
1.983 3.336 4.678
0.000 -1.316 5.026
1.983 6.142 2.351
0.000 3.045 6.815
1.983 1.782 0.562
0.000 3.777 3.226
1.983 1.049 4.151
```


This record from Alexandria via LeMat-Bulk describes a relaxed Ba4Th3MoN8 crystal. The functional is PBE.

Calculated values
The theoretical density comes out at 8232 kg/m3. Its space-group type is No. 166. The value obtained for the total magnetization is 0.00 μB/atom. The value obtained for the energy relative to the elements, uncorrected is -0.894 eV/atom. As for the density of states at the Fermi level: 4.5 states/eV per cell.

The structure in POSCAR format:
```
Ba4Th3MoN8
1.0
-5.921 3.086 -2.873
-4.260 -2.895 5.669
5.746 4.093 1.749
Ba N Th Mo
4 8 3 1
Cartesian
2.873 2.046 0.875
-2.960 1.543 -1.437
0.000 0.000 0.000
-0.087 3.590 -0.562
-5.873 1.633 -0.412
1.439 2.651 4.957
-4.613 2.136 2.607
0.179 2.148 1.938
-1.733 0.391 3.991
-2.605 -0.070 1.173
-2.701 3.893 0.553
-1.829 4.354 3.372
-2.217 2.142 2.272
0.743 0.599 3.709
-5.090 0.096 1.398
-2.130 -1.447 2.834
```


This record from Alexandria via LeMat-Bulk describes a relaxed BaThMoN4 crystal. The functional is PBE.

Calculated values
The theoretical density comes out at 6397 kg/m3. Its space-group type is No. 11. The value obtained for the total magnetization is 0.00 μB/atom. The value obtained for the energy relative to the elements, uncorrected is -1.001 eV/atom. As for the density of states at the Fermi level: 0.0 states/eV per cell.

The structure in POSCAR format:
```
BaThMoN4
1.0
-4.462 1.861 -3.902
1.118 -4.739 -3.538
-3.304 -4.546 5.046
Mo Ba N Th
2 2 8 2
Cartesian
-1.398 -4.583 -1.982
-5.250 -2.842 -0.412
-5.361 -6.422 -0.771
-1.287 -1.002 -1.624
-0.693 -3.728 -0.447
-5.955 -3.697 -1.947
-6.491 -1.421 -0.248
-1.771 -3.538 -3.500
-4.877 -3.887 1.106
-3.597 -2.161 -0.801
-3.051 -5.263 -1.593
-0.157 -6.003 -2.146
-2.473 -3.315 1.099
-4.175 -4.109 -3.494
```


This record from Alexandria via LeMat-Bulk describes a relaxed BaTh2MoN4 crystal. The functional is PBE.

Calculated values
The theoretical density comes out at 8499 kg/m3. Its space-group type is No. 63. The value obtained for the total magnetization is 0.00 μB/atom. The value obtained for the energy relative to the elements, uncorrected is -1.038 eV/atom. As for the density of states at the Fermi level: 6.1 states/eV per cell.

The structure in POSCAR format:
```
BaTh2MoN4
1.0
-2.102 -2.964 -0.611
3.751 -1.442 5.202
-8.877 4.707 7.706
Th Mo N Ba
4 2 8 2
Cartesian
-0.761 -2.033 1.369
-6.467 2.334 10.929
-4.343 -0.133 4.478
-2.885 0.435 7.819
-1.182 0.054 3.808
-6.046 0.248 8.490
-5.065 -0.095 6.779
-2.651 -0.976 2.744
-2.163 0.397 5.519
0.440 -0.983 3.259
-7.668 1.285 9.038
-4.439 2.353 3.853
-4.577 1.277 9.553
0.000 0.000 0.000
-6.291 3.134 6.444
-0.936 -2.832 5.853
```


This record from Alexandria via LeMat-Bulk describes a relaxed BaTh2MoN5 crystal. The functional is PBE.

Calculated values
The theoretical density comes out at 8792 kg/m3. Its space-group type is No. 140. The value obtained for the total magnetization is 0.00 μB/atom. The value obtained for the energy relative to the elements, uncorrected is -1.157 eV/atom. As for the density of states at the Fermi level: 3.2 states/eV per cell.

The structure in POSCAR format:
```
BaTh2MoN5
1.0
-4.896 1.745 -4.721
-3.649 -5.767 1.653
1.371 5.029 5.660
Th Ba N Mo
4 2 10 2
Cartesian
-4.554 -4.168 -0.154
-2.050 -1.527 -0.325
-6.496 -2.495 -2.743
-3.992 0.146 -2.915
-1.451 1.509 2.063
-5.724 -0.501 0.529
-4.273 -2.011 -1.534
-4.093 0.349 2.907
-3.341 3.615 1.046
-3.834 -2.607 1.546
-0.093 4.006 3.044
-6.330 0.268 -2.314
0.000 0.000 0.000
-7.082 -2.998 -0.453
-3.082 0.659 -0.315
-0.845 0.740 4.905
-3.276 -1.374 2.889
-3.899 2.382 -0.298
```


This record from Alexandria via LeMat-Bulk describes a relaxed Ba2UMoN5 crystal. The functional is PBE.

Calculated values
The theoretical density comes out at 6965 kg/m3. Its space-group type is No. 36. The value obtained for the total magnetization is 0.00 μB/atom. The value obtained for the energy relative to the elements, uncorrected is -0.880 eV/atom. As for the density of states at the Fermi level: 5.9 states/eV per cell.

The structure in POSCAR format:
```
Ba2UMoN5
1.0
3.654 0.000 0.000
-1.827 7.451 0.000
0.000 0.000 11.886
N Ba Mo U
10 4 2 2
Cartesian
1.827 3.177 1.611
0.000 4.274 7.553
1.827 6.753 6.053
1.827 2.400 5.982
0.000 0.698 0.110
0.000 7.429 9.539
1.827 2.632 10.860
0.000 5.051 0.039
0.000 4.819 4.917
1.827 0.022 3.596
1.827 5.896 2.015
1.827 5.298 9.767
0.000 2.153 3.824
0.000 1.555 7.958
0.000 6.802 5.237
1.827 0.648 11.180
1.827 4.408 6.271
0.000 3.043 0.329
```


This record from Alexandria via LeMat-Bulk describes a relaxed Ba2UMo2N6 crystal. The functional is PBE.

Calculated values
The theoretical density comes out at 6606 kg/m3. Its space-group type is No. 166. The value obtained for the total magnetization is 0.00 μB/atom. The value obtained for the energy relative to the elements, uncorrected is -0.807 eV/atom. As for the density of states at the Fermi level: 5.9 states/eV per cell.

The structure in POSCAR format:
```
Ba2UMo2N6
1.0
-5.483 -0.854 2.724
-0.984 -5.030 3.456
-0.210 0.984 6.900
Mo N Ba U
2 6 2 1
Cartesian
-3.753 -3.077 5.510
-2.925 -1.823 7.570
-1.695 -0.633 6.798
-4.525 -1.074 8.204
-4.475 -1.670 4.498
-2.203 -3.230 8.582
-4.983 -4.267 6.282
-2.152 -3.826 4.876
-1.476 -0.932 3.751
-5.201 -3.968 9.329
0.000 0.000 0.000
```


This record from Alexandria via LeMat-Bulk describes a relaxed Ba2ZnMoN4 crystal. The functional is PBE.

Calculated values
The theoretical density comes out at 5690 kg/m3. Its space-group type is No. 59. The value obtained for the total magnetization is 0.00 μB/atom. The value obtained for the energy relative to the elements, uncorrected is -0.598 eV/atom.

The structure in POSCAR format:
```
Ba2ZnMoN4
1.0
6.053 0.000 0.000
0.000 6.584 0.000
0.000 0.000 7.206
Mo Ba N Zn
2 4 8 2
Cartesian
3.026 5.371 3.603
6.053 1.213 0.000
3.026 1.678 1.811
3.026 1.678 5.395
6.053 4.906 1.792
6.053 4.906 5.414
4.569 0.088 0.000
0.000 2.189 1.644
3.027 4.395 5.247
4.510 6.496 3.603
0.000 2.189 5.562
3.027 4.395 1.959
1.543 6.496 3.603
1.483 0.088 0.000
3.026 5.303 0.000
6.053 1.281 3.603
```